No. 1
# AcGa3PdRh, optimized geometry, DFT GGA-PBE
data_AcGa3PdRh
_space_group_name_H-M_alt 'P 1'
_space_group_IT_number 1
_space_group_name_Hall 'P 1'
_cell_length_a 6.733
_cell_length_b 6.444
_cell_length_c 6.862
_cell_angle_alpha 118.00
_cell_angle_beta 90.00
_cell_angle_gamma 90.00
loop_
_atom_site_label
_atom_site_fract_x
_atom_site_fract_y
_atom_site_fract_z
Pd1 0.750 0.504 0.007
Pd2 0.250 0.496 0.993
Ga1 0.250 0.299 0.597
Ga2 0.500 0.208 0.000
Ga3 0.000 0.792 0.000
Ga4 0.750 0.701 0.403
Ga5 0.000 0.208 0.000
Ga6 0.500 0.792 0.000
Rh1 0.250 0.107 0.213
Rh2 0.750 0.893 0.787
Ac1 0.750 0.245 0.490
Ac2 0.250 0.755 0.510
# - Uncorrected energy: -58.2 eV per cell
# - Energy relative to the elements: -559.8 meV per atom
# - SG: Cmcm, No. 63

=====

No. 2
# Ba2PPbO, optimized geometry, DFT GGA-PBE
data_Ba2PPbO
_space_group_name_H-M_alt 'P 1'
_space_group_IT_number 1
_space_group_name_Hall 'P 1'
_cell_length_a 6.137
_cell_length_b 5.167
_cell_length_c 6.137
_cell_angle_alpha 90.00
_cell_angle_beta 90.00
_cell_angle_gamma 90.00
loop_
_atom_site_label
_atom_site_fract_x
_atom_site_fract_y
_atom_site_fract_z
Pb1 0.000 0.500 0.000
O1 0.500 0.500 0.500
Ba1 0.000 0.000 0.500
Ba2 0.500 0.000 0.000
P1 0.000 0.000 0.000
# - Uncorrected energy: -19.4 eV per cell
# - SG: P4/mmm, No. 123
# - Formation energy (no corrections): -0.29 eV/atom

=====

No. 3
# CsNpCu2O6, optimized geometry, DFT GGA-PBE
data_CsNpCu2O6
_space_group_name_H-M_alt 'P 1'
_space_group_IT_number 1
_space_group_name_Hall 'P 1'
_cell_length_a 7.455
_cell_length_b 6.886
_cell_length_c 6.886
_cell_angle_alpha 103.26
_cell_angle_beta 82.61
_cell_angle_gamma 82.61
loop_
_atom_site_label
_atom_site_fract_x
_atom_site_fract_y
_atom_site_fract_z
Cs1 0.250 0.918 0.082
Cs2 0.750 0.082 0.918
O1 0.266 0.007 0.661
O2 0.234 0.339 0.993
O3 0.974 0.307 0.698
O4 0.691 0.728 0.611
O5 0.191 0.611 0.728
O6 0.526 0.302 0.693
O7 0.809 0.389 0.272
O8 0.766 0.661 0.007
O9 0.734 0.993 0.339
O10 0.026 0.693 0.302
O11 0.474 0.698 0.307
O12 0.309 0.272 0.389
Cu1 0.189 0.464 0.280
Cu2 0.811 0.536 0.720
Cu3 0.689 0.280 0.464
Cu4 0.311 0.720 0.536
Np1 0.250 0.305 0.695
Np2 0.750 0.695 0.305
# - Uncorrected energy: -134.5 eV per cell
# - SG: C2/c, No. 15
# - Formation energy (no corrections): -1.55 eV/atom

=====

No. 4
# Th5Fe2Sb, optimized geometry, DFT GGA-PBE
data_Th5Fe2Sb
_space_group_name_H-M_alt 'P 1'
_space_group_IT_number 1
_space_group_name_Hall 'P 1'
_cell_length_a 7.740
_cell_length_b 7.740
_cell_length_c 8.882
_cell_angle_alpha 115.83
_cell_angle_beta 115.83
_cell_angle_gamma 90.00
loop_
_atom_site_label
_atom_site_fract_x
_atom_site_fract_y
_atom_site_fract_z
Sb1 0.750 0.750 0.500
Sb2 0.250 0.250 0.500
Fe1 0.356 0.856 0.000
Fe2 0.144 0.356 0.000
Fe3 0.644 0.144 0.000
Fe4 0.856 0.644 0.000
Th1 0.026 0.526 0.738
Th2 0.213 0.026 0.738
Th3 0.000 0.000 0.000
Th4 0.474 0.287 0.262
Th5 0.974 0.474 0.262
Th6 0.500 0.500 0.000
Th7 0.526 0.713 0.738
Th8 0.287 0.787 0.262
Th9 0.713 0.213 0.738
Th10 0.787 0.974 0.262
# - Uncorrected energy: -120.6 eV per cell
# - SG: I4/mcm, No. 140
# - Formation energy (no corrections): -0.27 eV/atom

=====

No. 5
# HgIr2Au, optimized geometry, DFT GGA-PBE
data_HgIr2Au
_space_group_name_H-M_alt 'P 1'
_space_group_IT_number 1
_space_group_name_Hall 'P 1'
_cell_length_a 9.441
_cell_length_b 9.441
_cell_length_c 9.441
_cell_angle_alpha 17.60
_cell_angle_beta 17.60
_cell_angle_gamma 17.60
loop_
_atom_site_label
_atom_site_fract_x
_atom_site_fract_y
_atom_site_fract_z
Hg1 0.750 0.750 0.750
Ir1 0.999 0.999 0.999
Ir2 0.501 0.501 0.501
Au1 0.250 0.250 0.250
# - Uncorrected energy: -19.3 eV per cell
# - Energy relative to the elements: 504.3 meV per atom
# - SG: R-3m, No. 166

=====

No. 6
# ZnCd2Ru, optimized geometry, DFT GGA-PBE
data_ZnCd2Ru
_space_group_name_H-M_alt 'P 1'
_space_group_IT_number 1
_space_group_name_Hall 'P 1'
_cell_length_a 3.927
_cell_length_b 3.927
_cell_length_c 10.176
_cell_angle_alpha 78.88
_cell_angle_beta 78.88
_cell_angle_gamma 90.00
loop_
_atom_site_label
_atom_site_fract_x
_atom_site_fract_y
_atom_site_fract_z
Cd1 0.630 0.125 0.250
Cd2 0.120 0.625 0.250
Cd3 0.875 0.880 0.750
Cd4 0.375 0.370 0.750
Zn1 0.250 0.750 0.500
Zn2 0.500 0.500 0.000
Ru1 0.000 0.000 0.000
Ru2 0.750 0.250 0.500
# - Uncorrected energy: -21.2 eV per cell
# - Energy relative to the elements: 442.0 meV per atom
# - SG: I-42d, No. 122